Record 1
Crystalline CaZnIn2Ni at its relaxed geometry, computed with GGA-PBE.

```
CaZnIn2Ni
1.0
-1.451 4.580 -1.167
-4.673 -1.206 1.076
0.681 1.357 4.478
Ca Ni In Zn
1 1 2 1
Direct
0.500 0.500 0.500
0.000 0.000 0.000
0.000 0.500 0.000
0.500 0.000 0.000
0.000 0.000 0.500
```

Values from the calculation:
* space group: No. 123

=====

Record 2
Crystalline CaNpIn2 at its relaxed geometry, computed with GGA-PBE.

```
CaNpIn2
1.0
-0.064 -3.323 0.410
4.492 0.344 3.489
-3.504 0.618 4.450
Np In Ca
1 2 1
Direct
0.500 0.000 0.000
0.000 0.500 0.000
0.000 0.000 0.500
0.500 0.500 0.500
```

Values from the calculation:
* space group: No. 123

=====

Number 1: DOS at the Fermi energy 3.41 states/eV/f.u., ΔE_f -0.179 eV/atom, raw total energy -3.09 eV per atom. Number 2: DOS at the Fermi energy 8.56 states/eV/f.u., ΔE_f -0.045 eV/atom, raw total energy -5.15 eV per atom.